[1]
An optimized crystal structure of Cs2CdF. Source: the Alexandria database, functional PBE.

The space group is I-42d (No. 122) and the conventional cell measures 8.844, 8.844 and 10.337 Å, with angles of 90.00, 90.00 and 90.00 degrees. The inequivalent atoms are Cs at (0.137, 0.250, 0.125), Cd at (0.000, 0.000, 0.500) and F at (0.000, 0.000, 0.000).

The value obtained for the polymorph energy (0 for the lowest one) is 0 meV per atom. For the density of states at the Fermi level, the calculation gives 9.7 states/eV per cell. The raw total energy is -37.64 eV for the cell shown. The total magnetization comes out at 0.0 μB per cell.



[2]
An optimized crystal structure of CsCdGaF6. Source: the Alexandria database, functional PBE.

The space group is Imma (No. 74) and the conventional cell measures 7.700, 7.778 and 10.643 Å, with angles of 90.00, 90.00 and 90.00 degrees. The inequivalent atoms are Cs at (0.000, 0.250, 0.110), Cd at (0.000, 0.000, 0.500), Ga at (0.250, 0.250, 0.750), F at (0.000, 0.250, 0.401), F at (0.000, 0.250, 0.775) and F at (0.232, 0.076, 0.624).

For the density of states at the Fermi level, the calculation gives 0.0 states/eV per cell. The raw total energy is -157.51 eV for the cell shown. The total magnetization comes out at 0.0 μB per cell.



[3]
An optimized crystal structure of CsCdGa2F8. Source: the Alexandria database, functional PBE.

The space group is R-3 (No. 148, hexagonal axes) and the conventional cell measures 5.7325, 5.7325 and 24.7173 Å, with angles of 90.00, 90.00 and 120.00 degrees. The inequivalent atoms are Cs at (0.0000, 0.0000, 0.0000), Cd at (0.0000, 0.0000, 0.5000), Ga at (0.0000, 0.0000, 0.2417), F at (0.0000, 0.0000, 0.3152) and F at (0.0031, 0.6939, 0.7782).

For the density of states at the Fermi level, the calculation gives 6.5 states/eV per cell. The raw total energy is -154.78 eV for the cell shown. The total magnetization comes out at 0.0 μB per cell.